Computed, not measured: a relaxed Ni2OsRu crystal at the GGA-PBE level of DFT.

* N(E_F): 7.4 states/eV/f.u.
* raw total energy: -7.6190 eV per atom

Unit cell a=2.5995 b=2.5995 c=8.7190 alpha=90.00 beta=90.00 gamma=117.25
Last column: nearest neighbours and their distance in Å.
Sites, in units of the cell vectors:
Ni 0.0000 0.0000 0.0080  8 Ni 2.45-2.71, 2 Ru 2.56
Ni 0.5000 0.5000 0.2421  8 Ni 2.45-2.71, 2 Os 2.56
Os 0.0000 0.0000 0.4912  2 Ni 2.56, 6 Os 2.60-2.71, 2 Ru 2.70
Ru 0.5000 0.5000 0.7586  2 Ni 2.56, 6 Ru 2.60-2.71, 2 Os 2.70

---

Computed, not measured: a relaxed Ni2OsRu crystal at the GGA-PBE level of DFT.

* N(E_F): 6.1 states/eV/f.u.
* raw total energy: -7.8235 eV per atom

Unit cell a=3.6890 b=3.6931 c=3.6931 alpha=90.00 beta=90.00 gamma=90.00
Last column: nearest neighbours and their distance in Å.
Sites, in units of the cell vectors:
Ni 0.0000 0.0000 0.0000  4 Os 2.61, 4 Ru 2.61, 4 Ni 2.61
Ni 0.0000 0.5000 0.5000  4 Ru 2.61, 4 Os 2.61, 4 Ni 2.61
Os 0.5000 0.5000 0.0000  8 Ni 2.61, 4 Ru 2.61
Ru 0.5000 0.0000 0.5000  8 Ni 2.61, 4 Os 2.61